# BeGe2S6

Crystalline BeGe2S6 at its relaxed geometry (PBE, the Alexandria database).

Cell and atoms, written as CIF:
```
data_BeGe2S6
_cell_length_a 10.361
_cell_length_b 12.376
_cell_length_c 6.463
_cell_angle_alpha 90.00
_cell_angle_beta 108.93
_cell_angle_gamma 90.00
_space_group_name_H-M_alt 'C 1 2/c 1'
_space_group_IT_number 15
loop_
_space_group_symop_operation_xyz
'x,y,z'
'-x,-y,-z'
'-x,y,-z+1/2'
'x,-y,z+1/2'
'x+1/2,y+1/2,z'
'-x+1/2,-y+1/2,-z'
'-x+1/2,y+1/2,-z+1/2'
'x+1/2,-y+1/2,z+1/2'
loop_
_atom_site_label
_atom_site_type_symbol
_atom_site_fract_x
_atom_site_fract_y
_atom_site_fract_z
Be1 Be 0.000 0.193 0.250
Ge1 Ge 0.207 0.430 0.392
S1 S 0.050 0.078 0.537
S2 S 0.141 0.421 0.691
S3 S 0.158 0.281 0.202
```

Properties
formation energy from raw total energies = -237 meV per atom
crystal system = monoclinic
ρ = 2.9 g/cm3